(1)
Here is a relaxed PmZr2Ir9 crystal from Alexandria. Energies are from PBE.

Values from the calculation:
M_tot (Bohr magnetons per cell): 0.00
Calculated total energy (eV for the cell shown): -108.0

POSCAR file:
```
PmZr2Ir9
1.0
-0.9867 -0.3960 5.1611
1.0314 -4.4990 2.5421
8.0233 1.1917 4.3154
Ir Zr Pm
9 2 1
direct
0.5856 0.5856 0.7469
0.4144 0.4144 0.2531
0.5856 0.0818 0.7469
0.0818 0.5856 0.7469
0.6659 0.6659 0.0022
0.3341 0.3341 0.9978
0.4144 0.9182 0.2531
0.5000 0.5000 0.5000
0.9182 0.4144 0.2531
0.1392 0.1392 0.5825
0.8608 0.8608 0.4175
0.0000 0.0000 0.0000
```

(2)
Here is a relaxed KTcPt2I crystal from Alexandria. Energies are from PBE.

Values from the calculation:
M_tot (Bohr magnetons per cell): 0.00
Calculated total energy (eV for the cell shown): -23.0

POSCAR file:
```
KTcPt2I
1.0
-2.6449 3.9592 -1.0686
-4.6986 -2.7779 1.3372
0.4138 1.5228 4.6176
Tc Pt I K
1 2 1 1
direct
0.0000 0.0000 0.0000
0.0000 0.0000 0.5000
0.5000 0.0000 0.0000
0.0000 0.5000 0.0000
0.5000 0.5000 0.5000
```

(3)
Here is a relaxed RePd3N crystal from Alexandria. Energies are from PBE.

Values from the calculation:
M_tot (Bohr magnetons per cell): 2.35
Polymorph energy (0 for the lowest one) (meV/atom): 1346.4

POSCAR file:
```
RePd3N
1.0
4.8354 0.0000 0.0000
0.0000 4.8354 0.0000
0.0000 0.0000 4.8354
N Pd Re
1 3 1
direct
0.5000 0.5000 0.5000
0.0000 0.5000 0.0000
0.0000 0.0000 0.5000
0.5000 0.0000 0.0000
0.0000 0.0000 0.0000
```